--- one ---
HfAl3O | PBE | optimized geometry

## Properties
Volume (Å³/cell): 74

Unit cell a=4.2022 b=4.2022 c=4.2022 alpha=90.00 beta=90.00 gamma=90.00
Sites, in units of the cell vectors:
Hf (0.0000, 0.0000, 0.0000)
Al (0.0000, 0.5000, 0.5000)
Al (0.5000, 0.0000, 0.5000)
Al (0.5000, 0.5000, 0.0000)
O (0.5000, 0.5000, 0.5000)

=====

--- two ---
HfAl3O | PBE | optimized geometry

## Properties
Volume (Å³/cell): 152

Unit cell a=5.3349 b=5.3349 c=5.3349 alpha=90.00 beta=90.00 gamma=90.00
Sites, in units of the cell vectors:
Hf (0.0000, 0.0000, 0.0000)
Al (0.0000, 0.0000, 0.5000)
Al (0.0000, 0.5000, 0.0000)
Al (0.5000, 0.0000, 0.0000)
O (0.5000, 0.5000, 0.5000)

=====

Short version: one is the most stable of them.

=====

--- one ---
Hf2AlO | PBE | optimized geometry

## Properties
Volume (Å³/cell): 67

Unit cell a=4.5609 b=4.5609 c=4.5609 alpha=60.00 beta=60.00 gamma=60.00
Sites, in units of the cell vectors:
Hf (0.2500, 0.2500, 0.2500)
Hf (0.7500, 0.7500, 0.7500)
Al (0.0000, 0.0000, 0.0000)
O (0.5000, 0.5000, 0.5000)

=====

--- two ---
Hf2AlO | PBE | optimized geometry

## Properties
Volume (Å³/cell): 69

Unit cell a=8.8611 b=8.8611 c=8.8611 alpha=19.61 beta=19.61 gamma=19.61
Sites, in units of the cell vectors:
Hf (0.1074, 0.1074, 0.1074)
Hf (0.8926, 0.8926, 0.8926)
Al (0.0000, 0.0000, 0.0000)
O (0.5000, 0.5000, 0.5000)

=====

Short version: two is the most stable of them.

=====

--- one ---
HfAlP2O | PBE | optimized geometry

## Properties
Volume (Å³/cell): 103

Unit cell a=5.1222 b=5.1222 c=3.9180 alpha=90.00 beta=90.00 gamma=90.00
Sites, in units of the cell vectors:
Hf (0.0000, 0.0000, 0.0000)
Al (0.5000, 0.5000, 0.5000)
P (0.0000, 0.5000, 0.0000)
P (0.5000, 0.0000, 0.0000)
O (0.0000, 0.0000, 0.5000)

=====

--- two ---
HfAlP2O | PBE | optimized geometry

## Properties
Volume (Å³/cell): 80

Unit cell a=4.8544 b=4.8544 c=3.3991 alpha=90.00 beta=90.00 gamma=90.00
Sites, in units of the cell vectors:
Hf (0.0000, 0.0000, 0.0000)
Al (0.5000, 0.5000, 0.5000)
P (0.0000, 0.5000, 0.5000)
P (0.5000, 0.0000, 0.5000)
O (0.5000, 0.5000, 0.0000)

=====

Short version: two is the most stable of them.